(1)
6
Lattice="3.764 0.000 0.000 1.882 3.225 -0.457 1.882 -1.614 11.577" Properties=species:S:1:pos:R:3 comment="PmHPb, optimized geometry, DFT PBE-GGA" vol_a3_per_atom=22.962 final_energy_ev_per_atom=-4.30 density_g_cm3=8.51 magnetic_moment_mub_per_cell=0.000 spacegroup="C2/m (12)" pbc="T T T"
Pm 3.764 -0.483 4.221
Pm 3.764 2.094 6.899
H 3.764 -0.157 6.501
H 3.764 1.768 4.619
Pb 1.882 0.243 1.496
Pb 5.646 1.368 9.624

(2)
3
Lattice="-0.078 3.540 3.905 -3.481 -1.153 0.976 3.048 -1.644 1.551" Properties=species:S:1:pos:R:3 comment="PmHPb, optimized geometry, DFT PBE-GGA" vol_a3_per_atom=21.906 final_energy_ev_per_atom=-4.47 density_g_cm3=8.92 magnetic_moment_mub_per_cell=0.000 spacegroup="P-6m2 (187)" pbc="T T T"
Pb 0.820 0.879 3.962
H -0.013 0.590 0.651
Pm -1.317 -0.727 1.818

(3)
4
Lattice="4.365 0.000 0.000 2.182 3.780 0.000 2.182 1.260 6.251" Properties=species:S:1:pos:R:3 comment="Pm2HPb, optimized geometry, DFT PBE-GGA" vol_a3_per_atom=25.782 final_energy_ev_per_atom=-4.38 density_g_cm3=8.02 magnetic_moment_mub_per_cell=0.587 spacegroup="R-3m (166)" pbc="T T T"
Pb 0.000 0.000 0.000
H 4.365 2.520 3.125
Pm 6.547 3.780 4.434
Pm 2.182 1.260 1.817

(4)
10
Lattice="-2.879 -0.541 2.978 -5.611 -1.959 -5.781 3.488 -7.352 -0.894" Properties=species:S:1:pos:R:3 comment="Pm2HPb2, optimized geometry, DFT PBE-GGA" vol_a3_per_atom=27.413 final_energy_ev_per_atom=-4.45 density_g_cm3=8.55 magnetic_moment_mub_per_cell=0.000 spacegroup="Cmc2_1 (36)" pbc="T T T"
Pm -0.305 -7.789 -1.710
Pm -0.280 -5.661 1.631
Pm -2.445 -3.396 -2.981
Pm -6.276 -2.614 -3.613
H 1.228 -6.512 0.004
H -4.379 -2.693 -1.793
Pb -3.549 -8.163 -1.984
Pb -2.588 -5.645 -0.598
Pb -4.350 -4.883 -5.093
Pb -0.771 -1.451 -1.009

(5)
3
Lattice="3.323 0.000 0.000 0.000 3.323 0.000 -1.662 -1.662 5.969" Properties=species:S:1:pos:R:3 comment="PmHPb, optimized geometry, DFT PBE-GGA" vol_a3_per_atom=21.974 final_energy_ev_per_atom=-4.24 density_g_cm3=8.90 magnetic_moment_mub_per_cell=0.030 spacegroup="I4mm (107)" pbc="T T T"
Pb 0.000 0.000 0.075
H 0.000 0.000 3.192
Pm 1.662 1.662 2.703

(6)
18
Lattice="-1.625 6.400 -0.945 -6.125 -0.518 7.029 8.840 2.493 1.684" Properties=species:S:1:pos:R:3 comment="Pm5HPb3, optimized geometry, DFT PBE-GGA" vol_a3_per_atom=27.983 final_energy_ev_per_atom=-4.82 density_g_cm3=8.89 magnetic_moment_mub_per_cell=0.000 spacegroup="P6_3/mcm (193)" pbc="T T T"
Pm 3.851 1.490 3.466
Pm -1.950 3.686 4.775
Pm -1.137 0.486 5.248
Pm 3.039 4.690 2.994
Pm -5.850 4.408 4.606
Pm -0.557 5.282 1.417
Pm 5.465 6.685 0.565
Pm -1.900 1.474 1.478
Pm 1.646 3.094 6.352
Pm 1.750 2.208 0.175
H 0.000 0.000 0.000
H -0.813 3.200 -0.472
Pb -3.610 4.598 2.035
Pb 0.436 6.004 4.604
Pb 2.231 5.773 -0.051
Pb -4.141 1.284 4.049
Pb 0.653 2.371 3.165
Pb 4.983 3.120 0.791

(7)
14
Lattice="-5.379 -1.807 -5.967 -3.392 -0.845 7.455 2.327 7.778 -1.373" Properties=species:S:1:pos:R:3 comment="Pm8HPb5, optimized geometry, DFT PBE-GGA" vol_a3_per_atom=30.596 final_energy_ev_per_atom=-4.70 density_g_cm3=8.52 magnetic_moment_mub_per_cell=0.002 spacegroup="I-4 (82)" pbc="T T T"
Pm -0.949 6.842 3.109
Pm 1.122 5.516 0.139
Pm -3.967 1.126 -3.131
Pm -2.809 5.413 -2.199
Pm -4.104 0.632 1.183
Pm -3.946 4.858 1.711
Pm -1.408 2.618 -0.136
Pm -2.007 3.080 4.376
H -1.295 4.959 1.206
Pb -0.971 0.703 2.485
Pb -7.101 -0.504 1.033
Pb -4.788 3.083 -0.724
Pb -1.526 2.985 -3.670
Pb -0.026 6.968 -2.564

(8)
12
Lattice="-3.856 1.254 -2.433 -0.490 -4.711 -1.651 -7.146 -0.471 11.084" Properties=species:S:1:pos:R:3 comment="Pm7H2Pb3, optimized geometry, DFT PBE-GGA" vol_a3_per_atom=25.605 final_energy_ev_per_atom=-4.68 density_g_cm3=8.86 magnetic_moment_mub_per_cell=0.000 spacegroup="Cmmm (65)" pbc="T T T"
Pm -5.867 -2.244 8.145
Pm -4.619 -4.028 5.246
Pm 0.000 0.000 0.000
Pm -1.768 -2.938 1.289
Pm -3.342 0.086 0.747
Pm -8.149 -4.014 6.254
Pm -3.017 -1.154 4.187
H -6.169 -4.621 7.397
H -1.467 -0.561 2.036
Pb -2.173 -1.729 -2.042
Pb -5.034 -2.823 1.930
Pb -6.458 -1.106 5.071